Compound: LiVOF3
Source: Alexandria via LeMat-Bulk
Functional: GGA+U
Structure: relaxed

- Crystal system: orthorhombic
- Polymorph energy (0 for the lowest one): 0.035 eV/atom

Cell: 5.1388 6.1027 9.6304 Å, 90.00 90.00 90.00°
Element x y z (fractional)
Li (0.1086, 0.1726, 0.3476)
Li (0.3914, 0.8274, 0.8476)
Li (0.6086, 0.3274, 0.6524)
Li (0.8914, 0.6726, 0.1524)
V (0.1493, 0.3805, 0.9110)
V (0.3507, 0.6195, 0.4110)
V (0.6493, 0.1195, 0.0890)
V (0.8507, 0.8805, 0.5890)
O (0.1722, 0.8338, 0.4725)
O (0.3278, 0.1662, 0.9725)
O (0.6722, 0.6662, 0.5275)
O (0.8278, 0.3338, 0.0275)
F (0.0531, 0.8401, 0.7455)
F (0.0838, 0.4957, 0.2934)
F (0.1700, 0.6480, 0.0050)
F (0.3300, 0.3520, 0.5050)
F (0.4162, 0.5043, 0.7934)
F (0.4469, 0.1599, 0.2455)
F (0.5531, 0.6599, 0.2545)
F (0.5838, 0.0043, 0.7066)
F (0.6700, 0.8520, 0.9950)
F (0.8300, 0.1480, 0.4950)
F (0.9162, 0.9957, 0.2066)
F (0.9469, 0.3401, 0.7545)